1.
GaRu4 | GGA-PBE | optimized geometry

Lattice parameters (Å, degrees): 4.4374 4.4374 4.4374 90.00 90.00 90.00
Closest atoms and distances in Å follow each position.
Positions (direct):
1 Ru 0.0000 0.0000 0.0000  12 Ru 3.14
2 Ru 0.5000 0.0000 0.5000  2 Ga 2.22
3 Ru 0.0000 0.5000 0.5000  2 Ga 2.22
4 Ru 0.5000 0.5000 0.0000  2 Ga 2.22
5 Ga 0.5000 0.5000 0.5000  6 Ru 2.22

Results
Its density is 9.008 g/cm³. Its formation energy is 1.59 eV/atom.


2.
GaRu | GGA-PBE | optimized geometry

Lattice parameters (Å, degrees): 8.8359 8.8359 3.8282 90.00 90.00 90.00
Closest atoms and distances in Å follow each position.
Positions (direct):
1 Ga 0.2032 0.1263 0.0000  4 Ru 2.45-2.65
2 Ga 0.7968 0.8737 0.0000  4 Ru 2.45-2.65
3 Ga 0.8737 0.2032 0.0000  4 Ru 2.45-2.65
4 Ga 0.1263 0.7968 0.0000  4 Ru 2.45-2.65
5 Ga 0.7032 0.6263 0.5000  4 Ru 2.45-2.65
6 Ga 0.2968 0.3737 0.5000  4 Ru 2.45-2.65
7 Ga 0.3737 0.7032 0.5000  4 Ru 2.45-2.65
8 Ga 0.6263 0.2968 0.5000  4 Ru 2.45-2.65
9 Ru 0.3785 0.9110 0.0000  4 Ga 2.45-2.65, 5 Ru 2.66-2.68
10 Ru 0.6215 0.0890 0.0000  4 Ga 2.45-2.65, 5 Ru 2.66-2.68
11 Ru 0.0890 0.3785 0.0000  4 Ga 2.45-2.65, 5 Ru 2.66-2.68
12 Ru 0.9110 0.6215 0.0000  4 Ga 2.45-2.65, 5 Ru 2.66-2.68
13 Ru 0.8785 0.4110 0.5000  4 Ga 2.45-2.65, 5 Ru 2.66-2.68
14 Ru 0.1215 0.5890 0.5000  4 Ga 2.45-2.65, 5 Ru 2.66-2.68
15 Ru 0.5890 0.8785 0.5000  4 Ga 2.45-2.65, 5 Ru 2.66-2.68
16 Ru 0.4110 0.1215 0.5000  4 Ga 2.45-2.65, 5 Ru 2.66-2.68

Results
Its density is 7.591 g/cm³. Its formation energy is 0.12 eV/atom.